# TlZnTe2 PBE relaxed
# formation energy from raw total energies: 0.12 eV per atom
# total DFT energy (no corrections): -2.364 eV per atom
data_TlZnTe2
_chemical_formula_sum 'Tl4 Zn4 Te8'
_space_group_name_H-M_alt 'F m -3 m'
_space_group_IT_number 225
_space_group_name_Hall '-F 4 2 3'
_cell_length_a 7.611
_cell_length_b 7.611
_cell_length_c 7.611
_cell_angle_alpha 90.00
_cell_angle_beta 90.00
_cell_angle_gamma 90.00
loop_
_atom_site_label
_atom_site_fract_x
_atom_site_fract_y
_atom_site_fract_z
Tl1 0.000 0.000 0.000
Zn1 0.000 0.000 0.500
Te1 0.250 0.250 0.250

***

# TlZnTe2 PBE relaxed
# formation energy from raw total energies: -0.20 eV per atom
# total DFT energy (no corrections): -2.676 eV per atom
data_TlZnTe2
_chemical_formula_sum 'Tl1 Zn1 Te2'
_space_group_name_H-M_alt 'P 1 m 1'
_space_group_IT_number 6
_cell_length_a 4.519
_cell_length_b 4.357
_cell_length_c 7.164
_cell_angle_alpha 90.00
_cell_angle_beta 99.10
_cell_angle_gamma 90.00
loop_
_space_group_symop_operation_xyz
'x,y,z'
'x,-y,z'
loop_
_atom_site_label
_atom_site_fract_x
_atom_site_fract_y
_atom_site_fract_z
Tl1 0.000 0.000 0.000
Zn1 0.207 0.500 0.570
Te1 0.477 0.500 0.922
Te2 0.953 0.000 0.424

***

# TlZnTe2 PBE relaxed
# formation energy from raw total energies: 0.11 eV per atom
# total DFT energy (no corrections): -2.375 eV per atom
data_TlZnTe2
_chemical_formula_sum 'Tl1 Zn1 Te2'
_space_group_name_H-M_alt 'P 4 m m'
_space_group_IT_number 99
_cell_length_a 3.369
_cell_length_b 3.369
_cell_length_c 10.077
_cell_angle_alpha 90.00
_cell_angle_beta 90.00
_cell_angle_gamma 90.00
loop_
_space_group_symop_operation_xyz
'x,y,z'
'-y,x,z'
'-x,-y,z'
'y,-x,z'
'-x,y,z'
'y,x,z'
'x,-y,z'
'-y,-x,z'
loop_
_atom_site_label
_atom_site_fract_x
_atom_site_fract_y
_atom_site_fract_z
Tl1 0.000 0.000 0.000
Zn1 0.500 0.500 0.217
Te1 0.000 0.000 0.388
Te2 0.500 0.500 0.738

***

# TlZn2Te PBE relaxed
# formation energy from raw total energies: -0.01 eV per atom
# total DFT energy (no corrections): -2.024 eV per atom
data_TlZn2Te
_chemical_formula_sum 'Tl2 Zn4 Te2'
_space_group_name_H-M_alt 'C 1 m 1'
_space_group_IT_number 8
_cell_length_a 7.303
_cell_length_b 4.292
_cell_length_c 7.084
_cell_angle_alpha 90.00
_cell_angle_beta 110.98
_cell_angle_gamma 90.00
loop_
_space_group_symop_operation_xyz
'x,y,z'
'x,-y,z'
'x+1/2,y+1/2,z'
'x+1/2,-y+1/2,z'
loop_
_atom_site_label
_atom_site_fract_x
_atom_site_fract_y
_atom_site_fract_z
Tl1 0.000 0.000 0.000
Zn1 0.020 0.500 0.560
Zn2 0.245 0.000 0.731
Te1 0.285 0.500 0.357

***

Q: Among the records above, which one has the lowest formation energy from raw total energies?
A: number 2